#w
Computed, not measured: a relaxed structure of La3PrFe at the GGA-PBE level of DFT. Values from VASP.

```
&SYSTEM
  ibrav = 0, nat = 20, ntyp = 3
/
ATOMIC_SPECIES
La 138.91 La.upf
Pr 140.91 Pr.upf
Fe 55.84 Fe.upf
ATOMIC_POSITIONS crystal
La 0.860 0.913 0.859
La 0.087 0.140 0.641
La 0.140 0.087 0.141
La 0.913 0.860 0.359
La 0.641 0.586 0.640
La 0.414 0.359 0.860
La 0.359 0.414 0.360
La 0.586 0.641 0.140
La 0.376 0.875 0.875
La 0.125 0.624 0.625
La 0.875 0.376 0.375
La 0.624 0.125 0.125
Pr 0.900 0.400 0.908
Pr 0.600 0.100 0.592
Pr 0.100 0.600 0.092
Pr 0.400 0.900 0.408
Fe 0.000 0.500 0.500
Fe 0.500 0.000 0.000
Fe 0.749 0.251 0.250
Fe 0.251 0.749 0.750
CELL_PARAMETERS angstrom
7.403 -0.039 1.993
3.266 6.644 1.993
-0.221 -0.137 13.150
```

Calculated volume in Å³/cell: 652.6
Fermi-level density of states in states/eV per cell: 28.6


#x
Computed, not measured: a relaxed structure of La3PrFe at the GGA-PBE level of DFT. Values from VASP.

```
&SYSTEM
  ibrav = 0, nat = 5, ntyp = 3
/
ATOMIC_SPECIES
Pr 140.91 Pr.upf
Fe 55.84 Fe.upf
La 138.91 La.upf
ATOMIC_POSITIONS crystal
Pr 0.500 0.500 0.500
Fe 0.000 0.000 0.000
La 0.000 0.500 0.000
La 0.000 0.000 0.500
La 0.500 0.000 0.000
CELL_PARAMETERS angstrom
5.464 0.000 0.000
0.000 5.464 0.000
0.000 0.000 5.464
```

Calculated volume in Å³/cell: 163.1
Fermi-level density of states in states/eV per cell: 9.0


In meV/atom, relative to the most stable structure: #w 0; #x 17.


#w
Computed, not measured: a relaxed structure of RbLa2Fe at the GGA-PBE level of DFT. Values from VASP.

```
&SYSTEM
  ibrav = 0, nat = 8, ntyp = 3
/
ATOMIC_SPECIES
Fe 55.84 Fe.upf
Rb 85.47 Rb.upf
La 138.91 La.upf
ATOMIC_POSITIONS crystal
Fe 0.500 0.500 0.000
Fe 0.250 0.750 0.500
Rb 0.000 0.000 0.000
Rb 0.750 0.250 0.500
La 0.374 0.125 0.250
La 0.376 0.625 0.250
La 0.375 0.626 0.750
La 0.875 0.624 0.750
CELL_PARAMETERS angstrom
8.063 0.000 0.000
0.000 8.063 0.000
4.031 4.031 5.698
```

Calculated volume in Å³/cell: 370.4
Fermi-level density of states in states/eV per cell: 11.0


#x
Computed, not measured: a relaxed structure of RbLa2Fe at the GGA-PBE level of DFT. Values from VASP.

```
&SYSTEM
  ibrav = 0, nat = 4, ntyp = 3
/
ATOMIC_SPECIES
Fe 55.84 Fe.upf
Rb 85.47 Rb.upf
La 138.91 La.upf
ATOMIC_POSITIONS crystal
Fe 0.000 0.000 0.000
Rb 0.500 0.500 0.500
La 0.250 0.250 0.250
La 0.750 0.750 0.750
CELL_PARAMETERS angstrom
0.000 3.837 3.837
3.837 0.000 3.837
3.837 3.837 0.000
```

Calculated volume in Å³/cell: 113.0
Fermi-level density of states in states/eV per cell: 7.5


In meV/atom, relative to the most stable structure: #w 0; #x 559.


#w
Computed, not measured: a relaxed structure of Rb2LaFe at the GGA-PBE level of DFT. Values from VASP.

```
&SYSTEM
  ibrav = 0, nat = 8, ntyp = 3
/
ATOMIC_SPECIES
Fe 55.84 Fe.upf
Rb 85.47 Rb.upf
La 138.91 La.upf
ATOMIC_POSITIONS crystal
Fe 0.500 0.500 0.000
Fe 0.250 0.750 0.500
Rb 0.471 0.125 0.250
Rb 0.279 0.625 0.250
Rb 0.375 0.529 0.750
Rb 0.875 0.721 0.750
La 0.000 0.000 0.000
La 0.750 0.250 0.500
CELL_PARAMETERS angstrom
-6.653 -6.488 -9.877
-5.170 -8.595 9.128
-7.722 -6.137 -0.078
```

Calculated volume in Å³/cell: 425.1
Fermi-level density of states in states/eV per cell: 11.1


#x
Computed, not measured: a relaxed structure of Rb2LaFe at the GGA-PBE level of DFT. Values from VASP.

```
&SYSTEM
  ibrav = 0, nat = 4, ntyp = 3
/
ATOMIC_SPECIES
Fe 55.84 Fe.upf
Rb 85.47 Rb.upf
La 138.91 La.upf
ATOMIC_POSITIONS crystal
Fe 0.000 0.000 0.000
Rb 0.250 0.250 0.250
Rb 0.750 0.750 0.750
La 0.500 0.500 0.500
CELL_PARAMETERS angstrom
-0.900 0.108 -6.085
4.815 -0.182 -3.825
1.072 -5.042 -3.358
```

Calculated volume in Å³/cell: 164.6
Fermi-level density of states in states/eV per cell: 6.2


In meV/atom, relative to the most stable structure: #w 0; #x 487.


#w
Computed, not measured: a relaxed structure of RbLaFe3 at the GGA-PBE level of DFT. Values from VASP.

```
&SYSTEM
  ibrav = 0, nat = 5, ntyp = 3
/
ATOMIC_SPECIES
Fe 55.84 Fe.upf
Rb 85.47 Rb.upf
La 138.91 La.upf
ATOMIC_POSITIONS crystal
Fe 0.000 0.500 0.000
Fe 0.000 0.000 0.500
Fe 0.500 0.000 0.000
Rb 0.000 0.000 0.000
La 0.500 0.500 0.500
CELL_PARAMETERS angstrom
5.004 0.000 0.000
0.000 5.004 0.000
0.000 0.000 5.004
```

Calculated volume in Å³/cell: 125.3
Fermi-level density of states in states/eV per cell: 7.8


#x
Computed, not measured: a relaxed structure of RbLaFe3 at the GGA-PBE level of DFT. Values from VASP.

```
&SYSTEM
  ibrav = 0, nat = 5, ntyp = 3
/
ATOMIC_SPECIES
Fe 55.84 Fe.upf
Rb 85.47 Rb.upf
La 138.91 La.upf
ATOMIC_POSITIONS crystal
Fe 0.000 0.500 0.000
Fe 0.000 0.000 0.500
Fe 0.500 0.000 0.000
Rb 0.500 0.500 0.500
La 0.000 0.000 0.000
CELL_PARAMETERS angstrom
-5.076 1.624 0.208
-1.241 -4.259 2.961
1.068 2.770 4.431
```

Calculated volume in Å³/cell: 151.7
Fermi-level density of states in states/eV per cell: 9.3


In meV/atom, relative to the most stable structure: #w 433; #x 0.


#w
Computed, not measured: a relaxed structure of LaFeRe2 at the GGA-PBE level of DFT. Values from VASP.

```
&SYSTEM
  ibrav = 0, nat = 4, ntyp = 3
/
ATOMIC_SPECIES
Fe 55.84 Fe.upf
La 138.91 La.upf
Re 186.21 Re.upf
ATOMIC_POSITIONS crystal
Fe 0.500 0.000 0.500
La 0.000 0.500 0.500
Re 0.000 0.000 0.000
Re 0.500 0.500 0.000
CELL_PARAMETERS angstrom
3.159 0.000 0.000
0.000 4.447 0.000
0.000 0.000 5.029
```

Calculated volume in Å³/cell: 70.6
Fermi-level density of states in states/eV per cell: 3.5


#x
Computed, not measured: a relaxed structure of LaFeRe2 at the GGA-PBE level of DFT. Values from VASP.

```
&SYSTEM
  ibrav = 0, nat = 4, ntyp = 3
/
ATOMIC_SPECIES
Fe 55.84 Fe.upf
La 138.91 La.upf
Re 186.21 Re.upf
ATOMIC_POSITIONS crystal
Fe 0.445 0.445 0.665
La 0.251 0.251 0.248
Re 0.055 0.055 0.834
Re 0.749 0.749 0.754
CELL_PARAMETERS angstrom
4.242 -0.734 0.282
2.748 3.314 0.282
1.955 0.722 5.501
```

Calculated volume in Å³/cell: 85.9
Fermi-level density of states in states/eV per cell: 5.3


#y
Computed, not measured: a relaxed structure of LaFeRe2 at the GGA-PBE level of DFT. Values from VASP.

```
&SYSTEM
  ibrav = 0, nat = 4, ntyp = 3
/
ATOMIC_SPECIES
Fe 55.84 Fe.upf
La 138.91 La.upf
Re 186.21 Re.upf
ATOMIC_POSITIONS crystal
Fe 0.750 0.250 0.500
La 0.250 0.750 0.500
Re 0.963 0.963 0.000
Re 0.537 0.537 0.000
CELL_PARAMETERS angstrom
5.914 -0.085 0.023
3.483 4.780 -0.023
-4.144 -3.457 2.420
```

Calculated volume in Å³/cell: 68.8
Fermi-level density of states in states/eV per cell: 4.4


#z
Computed, not measured: a relaxed structure of LaFeRe2 at the GGA-PBE level of DFT. Values from VASP.

```
&SYSTEM
  ibrav = 0, nat = 4, ntyp = 3
/
ATOMIC_SPECIES
Fe 55.84 Fe.upf
La 138.91 La.upf
Re 186.21 Re.upf
ATOMIC_POSITIONS crystal
Fe 0.000 0.500 0.500
La 0.500 0.500 0.000
Re 0.000 0.000 0.000
Re 0.500 0.000 0.500
CELL_PARAMETERS angstrom
5.127 -0.023 -0.083
-2.301 5.061 0.063
0.525 0.756 2.679
```

Calculated volume in Å³/cell: 69.5
Fermi-level density of states in states/eV per cell: 4.1


In meV/atom, relative to the most stable structure: #w 410; #x 0; #y 262; #z 450.